DFT (PBE with a Hubbard U) results for a relaxed HfMo2F2 crystal.

a b c (Å): 3.659 3.659 6.303
angles (deg): 73.13 73.13 90.00
Element x y z (fractional)
F 0.250 0.750 0.500
F 0.750 0.250 0.500
Mo 0.388 0.388 0.223
Mo 0.612 0.612 0.777
Hf 0.000 0.000 0.000

Properties
Theoretical density = 8.814 Mg/m³
Total magnetization = 0.00 μB/f.u.
Energy above the lowest structure with this stoichiometry = 0.0 kJ per mole of atoms
Total energy = -0.21816 hartree per atom
Crystal system = tetragonal